# 1
Here is crystalline ErSc3Ir4 at its relaxed geometry from the Alexandria database. Energies are from GGA-PBE.

Its space-group type is No. 123. The density is 12.69 Mg/m³. For the formation energy, the calculation gives -963 meV per atom. Its total energy is -66.71 eV/f.u.

abc: 4.508 6.896 9.016
angles: 90.00 90.00 90.00
Atoms (fractional coordinates):
1 Sc 0.000 0.000 0.000
2 Sc 0.000 0.000 0.500
3 Sc 0.500 0.000 0.750
4 Sc 0.500 0.000 0.250
5 Sc 0.500 0.500 0.750
6 Sc 0.500 0.500 0.250
7 Ir 0.500 0.759 0.000
8 Ir 0.500 0.759 0.500
9 Ir 0.500 0.241 0.000
10 Ir 0.500 0.241 0.500
11 Ir 0.000 0.759 0.750
12 Ir 0.000 0.759 0.250
13 Ir 0.000 0.241 0.250
14 Ir 0.000 0.241 0.750
15 Er 0.000 0.500 0.000
16 Er 0.000 0.500 0.500

=====

# 2
Here is crystalline AcSm2Y at its relaxed geometry from the Alexandria database. Energies are from GGA-PBE.

Its space-group type is No. 166. The density is 7.10 Mg/m³. The value obtained for the offset from the most stable computed form is 12.6 meV per atom. For the formation energy, the calculation gives 47 meV per atom. Its total energy is -19.82 eV/f.u.

abc: 3.725 3.725 12.200
angles: 81.22 81.22 60.00
Atoms (fractional coordinates):
1 Y 0.500 0.500 0.500
2 Ac 0.000 0.000 0.000
3 Sm 0.753 0.753 0.741
4 Sm 0.247 0.247 0.259

=====

# 3
Here is crystalline TlMoPb2 at its relaxed geometry from the Alexandria database. Energies are from GGA-PBE.

Its space-group type is No. 139. The density is 11.62 Mg/m³. The value obtained for the offset from the most stable computed form is 269.7 meV per atom. For the formation energy, the calculation gives 732 meV per atom. Its total energy is -17.69 eV/f.u.

abc: 5.704 5.704 5.704
angles: 131.43 131.43 71.14
Atoms (fractional coordinates):
1 Mo 0.750 0.250 0.500
2 Pb 0.000 0.000 0.000
3 Pb 0.500 0.500 0.000
4 Tl 0.250 0.750 0.500

=====

# 4
Here is crystalline SrLi4Br at its relaxed geometry from the Alexandria database. Energies are from GGA-PBE.

Its space-group type is No. 216. The density is 1.97 Mg/m³. Its total energy is -12.08 eV/f.u.

abc: 6.153 6.153 6.153
angles: 60.00 60.00 60.00
Atoms (fractional coordinates):
1 Sr 0.750 0.750 0.750
2 Li 0.877 0.374 0.374
3 Li 0.374 0.374 0.877
4 Li 0.374 0.877 0.374
5 Li 0.374 0.374 0.374
6 Br 0.000 0.000 0.000

=====

# 5
Here is crystalline Ac2ThTe5Au at its relaxed geometry from the Alexandria database. Energies are from GGA-PBE.

Its space-group type is No. 36. The density is 8.37 Mg/m³. Its total energy is -45.69 eV/f.u.

abc: 4.524 10.090 13.573
angles: 90.00 90.00 102.95
Atoms (fractional coordinates):
1 Ac 0.879 0.759 0.816
2 Ac 0.117 0.234 0.694
3 Ac 0.121 0.241 0.316
4 Ac 0.883 0.766 0.194
5 Th 0.812 0.624 0.512
6 Th 0.188 0.376 0.012
7 Te 0.352 0.704 0.006
8 Te 0.697 0.394 0.845
9 Te 0.499 0.999 0.768
10 Te 0.295 0.591 0.675
11 Te 0.964 0.928 0.557
12 Te 0.648 0.296 0.506
13 Te 0.303 0.606 0.345
14 Te 0.501 0.001 0.268
15 Te 0.705 0.409 0.175
16 Te 0.036 0.072 0.057
17 Au 0.571 0.143 0.950
18 Au 0.429 0.857 0.450

=====

# 6
Here is crystalline SrPr2Au4 at its relaxed geometry from the Alexandria database. Energies are from GGA-PBE.

Its space-group type is No. 166. The density is 9.03 Mg/m³. For the formation energy, the calculation gives -643 meV per atom. Its total energy is -28.85 eV/f.u.

abc: 5.075 5.075 9.979
angles: 75.27 75.27 60.00
Atoms (fractional coordinates):
1 Sr 0.000 0.000 0.000
2 Pr 0.784 0.784 0.649
3 Pr 0.216 0.216 0.351
4 Au 0.891 0.891 0.327
5 Au 0.109 0.109 0.673
6 Au 0.596 0.596 0.212
7 Au 0.404 0.404 0.788